Computed, not measured: crystalline Dy2HoFeNi8 at its relaxed geometry at the PBE-GGA level of DFT.

Calculated values
- Magnetic moment: 3.2 μB per formula unit
- Space-group type: R-3m, No. 166
- Calculated formation energy: -353 meV per atom

```
12
Lattice="2.4826 1.4333 8.0587 -2.4826 1.4333 8.0587 0.0000 -2.8667 8.0587" Properties=species:S:1:pos:R:3 pbc="T T T"
Dy 0.0000 0.0000 3.3510
Dy 0.0000 0.0000 20.8250
Ho 0.0000 0.0000 0.0000
Fe 0.0000 0.0000 12.0880
Ni -1.2471 -0.7200 10.0648
Ni 0.0000 0.0000 8.0607
Ni 0.0000 -1.4400 14.1112
Ni -1.2471 0.7200 14.1112
Ni 1.2471 -0.7200 10.0648
Ni 0.0000 1.4400 10.0648
Ni 0.0000 0.0000 16.1153
Ni 1.2471 0.7200 14.1112
```

Computed, not measured: crystalline TbYC at its relaxed geometry at the PBE-GGA level of DFT.

Calculated values
- Magnetic moment: 0.2 μB per formula unit
- Space-group type: P4_2/mmc, No. 131

```
6
Lattice="4.4662 0.0000 0.0000 0.0000 4.4662 0.0000 0.0000 0.0000 7.0109" Properties=species:S:1:pos:R:3 pbc="T T T"
Tb 0.0000 0.0000 0.0000
Tb 0.0000 0.0000 3.5054
Y 2.2331 2.2331 1.7527
Y 2.2331 2.2331 5.2581
C 0.0000 2.2331 0.0000
C 2.2331 0.0000 3.5054
```

Computed, not measured: crystalline Zr2Al3Mo4C3 at its relaxed geometry at the PBE-GGA level of DFT.

Calculated values
- Magnetic moment: 0.0 μB per formula unit
- Space-group type: C2/c, No. 15

```
24
Lattice="4.6865 -2.7122 0.0000 4.6865 2.7122 0.0000 -3.2519 0.0000 13.5441" Properties=species:S:1:pos:R:3 pbc="T T T"
Zr 2.2814 2.2610 8.2881
Zr 2.2138 2.2610 12.0280
Zr 3.9073 -2.2610 1.5161
Zr 3.8398 -2.2610 5.2560
Al -0.1665 0.8473 10.1597
Al 1.4595 -0.8473 3.3877
Al 3.8735 0.3838 3.3860
Al 2.2476 -0.3838 10.1581
Al 4.6616 0.8473 10.1565
Al 6.2876 -0.8473 3.3844
Mo 2.3118 0.4408 1.0746
Mo 2.2913 0.4827 5.6967
Mo 0.6858 -0.4408 7.8466
Mo 0.6653 -0.4827 12.4687
Mo 5.4558 0.4827 1.0754
Mo 5.4353 0.4408 5.6975
Mo 3.8298 -0.4827 7.8475
Mo 3.8094 -0.4408 12.4695
C 0.7173 1.3561 6.7721
C 3.9129 1.3720 0.0000
C 3.8342 1.3720 6.7721
C 2.3433 -1.3561 0.0000
C 2.2870 -1.3720 6.7721
C 5.4601 -1.3720 0.0000
```

Computed, not measured: crystalline Cs2GaHgBr6 at its relaxed geometry at the PBE-GGA level of DFT.

Calculated values
- Energy above the lowest structure with this stoichiometry: 0.0000 eV per atom
- Space-group type: P2_1/c, No. 14

```
20
Lattice="7.8886 0.0000 0.0000 0.0000 7.8950 0.0000 -7.8814 0.0000 11.1686" Properties=species:S:1:pos:R:3 pbc="T T T"
Cs -0.0069 0.0074 2.7972
Cs -3.9476 3.9401 8.3815
Cs 3.9548 3.9549 2.7871
Cs 0.0141 7.8875 8.3714
Ga 3.9443 0.0000 0.0000
Ga 0.0036 3.9475 5.5843
Hg -3.9407 0.0000 5.5843
Hg 0.0000 3.9475 0.0000
Br -0.0030 3.9650 2.9494
Br -3.9437 7.8775 8.5337
Br -5.7957 1.8665 11.1643
Br -1.8550 2.0810 5.5800
Br -1.8650 5.8039 5.6002
Br 2.0757 6.0385 0.0159
Br -2.0685 1.8564 11.1528
Br 1.8722 2.0911 5.5684
Br 1.8623 5.8140 5.5886
Br 5.8029 6.0285 0.0043
Br 3.9509 0.0175 2.6349
Br 0.0102 3.9300 8.2192
```

| no. | E_tot (Ha/atom) |
| --- | --- |
| 1 | -0.217 |
| 2 | -0.238 |
| 3 | -0.320 |
| 4 | -0.095 |